(1)
HfC | the Open Quantum Materials Database | PBE-GGA | relaxed; VASP energy = -9.186 eV per atom
1.0
-1.697 -0.978 2.127
2.223 0.151 1.843
-0.734 2.717 0.663
C Hf
1 1
direct
0.500 0.500 0.500
0.000 0.000 0.000



(2)
RbMgAsPt | the Open Quantum Materials Database | PBE-GGA | relaxed; VASP energy = -3.071 eV per atom
1.0
0.000 3.584 3.584
3.584 0.000 3.584
3.584 3.584 0.000
Pt Mg Rb As
1 1 1 1
direct
0.000 0.000 0.000
0.750 0.750 0.750
0.250 0.250 0.250
0.500 0.500 0.500